[1]
# TaPd4Pt2

A relaxed structure of TaPd4Pt2 (PBE, Alexandria). Values from VASP.

Geometry as Quantum ESPRESSO input:
```
&SYSTEM
  ibrav = 0, nat = 14, ntyp = 3
/
ATOMIC_SPECIES
Ta 180.95 Ta.upf
Pd 106.42 Pd.upf
Pt 195.08 Pt.upf
ATOMIC_POSITIONS crystal
Ta 0.000 0.000 0.000
Ta 0.000 0.500 0.500
Pd 0.057 0.240 0.705
Pd 0.057 0.260 0.205
Pd 0.462 0.658 0.544
Pd 0.462 0.842 0.044
Pd 0.538 0.158 0.956
Pd 0.538 0.342 0.456
Pd 0.943 0.740 0.795
Pd 0.943 0.760 0.295
Pt 0.259 0.540 0.066
Pt 0.259 0.960 0.566
Pt 0.741 0.040 0.434
Pt 0.741 0.460 0.934
CELL_PARAMETERS angstrom
4.837 0.000 0.000
0.000 9.112 0.000
-0.207 0.000 5.239
```

Values from the calculation:
Space group ... P2_1/c
Formation enthalpy at 0 K ... -172 meV/atom

[2]
# AcIn2As

A relaxed structure of AcIn2As (PBE, Alexandria). Values from VASP.

Geometry as Quantum ESPRESSO input:
```
&SYSTEM
  ibrav = 0, nat = 4, ntyp = 3
/
ATOMIC_SPECIES
Ac 227.00 Ac.upf
In 114.82 In.upf
As 74.92 As.upf
ATOMIC_POSITIONS crystal
Ac 0.000 0.000 0.000
In 0.500 0.500 0.299
In 0.500 0.500 0.701
As 0.000 0.000 0.500
CELL_PARAMETERS angstrom
3.970 0.000 0.000
0.000 3.970 0.000
0.000 0.000 7.110
```

Values from the calculation:
Space group ... P4/mmm
Formation enthalpy at 0 K ... -280 meV/atom

[3]
# ErGa2Ni4

A relaxed structure of ErGa2Ni4 (PBE, Alexandria). Values from VASP.

Geometry as Quantum ESPRESSO input:
```
&SYSTEM
  ibrav = 0, nat = 14, ntyp = 3
/
ATOMIC_SPECIES
Er 167.26 Er.upf
Ga 69.72 Ga.upf
Ni 58.69 Ni.upf
ATOMIC_POSITIONS crystal
Er 0.000 0.000 0.000
Er 0.500 0.500 0.500
Ga 0.219 0.219 0.500
Ga 0.281 0.719 0.000
Ga 0.719 0.281 0.000
Ga 0.781 0.781 0.500
Ni 0.090 0.649 0.500
Ni 0.149 0.410 0.000
Ni 0.351 0.910 0.500
Ni 0.410 0.149 0.000
Ni 0.590 0.851 0.000
Ni 0.649 0.090 0.500
Ni 0.851 0.590 0.000
Ni 0.910 0.351 0.500
CELL_PARAMETERS angstrom
7.196 0.000 0.000
0.000 7.196 0.000
0.000 0.000 3.845
```

Values from the calculation:
Space group ... P4_2/mnm
Formation enthalpy at 0 K ... -454 meV/atom

[4]
# Rb2HfCuSe4

A relaxed structure of Rb2HfCuSe4 (PBE, Alexandria). Values from VASP.

Geometry as Quantum ESPRESSO input:
```
&SYSTEM
  ibrav = 0, nat = 16, ntyp = 4
/
ATOMIC_SPECIES
Rb 85.47 Rb.upf
Hf 178.49 Hf.upf
Cu 63.55 Cu.upf
Se 78.96 Se.upf
ATOMIC_POSITIONS crystal
Rb 0.000 0.000 0.000
Rb 0.000 0.000 0.500
Rb 0.000 0.500 0.000
Rb 0.500 0.000 0.500
Hf 0.500 0.500 0.000
Hf 0.500 0.500 0.500
Cu 0.000 0.500 0.500
Cu 0.500 0.000 0.000
Se 0.270 0.695 0.544
Se 0.292 0.301 0.051
Se 0.301 0.292 0.551
Se 0.305 0.730 0.956
Se 0.695 0.270 0.044
Se 0.699 0.708 0.449
Se 0.708 0.699 0.949
Se 0.730 0.305 0.456
CELL_PARAMETERS angstrom
5.817 -6.494 0.000
5.817 6.494 0.000
-5.319 0.000 5.992
```

Values from the calculation:
Space group ... C2/c
Formation energy from raw total energies ... -854.5 meV/atom

[5]
# KCa2Te

A relaxed structure of KCa2Te (PBE, Alexandria). Values from VASP.

Geometry as Quantum ESPRESSO input:
```
&SYSTEM
  ibrav = 0, nat = 4, ntyp = 3
/
ATOMIC_SPECIES
K 39.10 K.upf
Ca 40.08 Ca.upf
Te 127.60 Te.upf
ATOMIC_POSITIONS crystal
K 0.000 0.000 0.000
Ca 0.224 0.224 0.224
Ca 0.776 0.776 0.776
Te 0.500 0.500 0.500
CELL_PARAMETERS angstrom
2.161 1.248 11.169
-2.161 1.248 11.169
0.000 -2.495 11.169
```

Values from the calculation:
Space group ... R-3m
Formation energy from raw total energies ... -649.4 meV/atom

[6]
# Ta2Co2Hg

A relaxed structure of Ta2Co2Hg (PBE, Alexandria). Values from VASP.

Geometry as Quantum ESPRESSO input:
```
&SYSTEM
  ibrav = 0, nat = 5, ntyp = 3
/
ATOMIC_SPECIES
Ta 180.95 Ta.upf
Co 58.93 Co.upf
Hg 200.59 Hg.upf
ATOMIC_POSITIONS crystal
Ta 0.250 0.750 0.500
Ta 0.750 0.250 0.500
Co 0.117 0.117 0.000
Co 0.883 0.883 0.000
Hg 0.500 0.500 0.000
CELL_PARAMETERS angstrom
-2.104 2.104 4.790
2.104 -2.104 4.790
2.104 2.104 -4.790
```

Values from the calculation:
Space group ... I4/mmm
Formation enthalpy at 0 K ... 140 meV/atom